Entry P
Entry from Alexandria: a relaxed structure of Cu3GeRh (PBE-GGA).

Summary:
* D(E_F): 0.926 states/eV/atom
* crystal system: cubic

Unit cell a=4.6162 b=4.6162 c=4.6162 alpha=90.00 beta=90.00 gamma=90.00
Closest atoms and distances in Å follow each position.
Space group Pm-3m (No. 221)
Symmetry-distinct sites (fractional):
Cu: 0.0000 0.0000 0.5000 x3  2 Rh 2.31
Ge: 0.5000 0.5000 0.5000 x1  12 Cu 3.26
Rh: 0.0000 0.0000 0.0000 x1  6 Cu 2.31

Entry Q
Entry from Alexandria: a relaxed structure of Cu3GeRh (PBE-GGA).

Summary:
* D(E_F): 0.469 states/eV/atom
* crystal system: cubic

Unit cell a=4.3763 b=4.3763 c=4.3763 alpha=90.00 beta=90.00 gamma=90.00
Closest atoms and distances in Å follow each position.
Space group Pm-3m (No. 221)
Symmetry-distinct sites (fractional):
Cu: 0.0000 0.0000 0.5000 x3  2 Ge 2.19
Ge: 0.0000 0.0000 0.0000 x1  6 Cu 2.19
Rh: 0.5000 0.5000 0.5000 x1  12 Cu 3.09

Relative to the most stable one, in meV per atom, the structures come out at entry P 238; entry Q 0.

Entry P
Entry from Alexandria: a relaxed structure of CuGe2Ru2 (PBE-GGA).

Summary:
* D(E_F): 0.661 states/eV/atom
* crystal system: tetragonal

Unit cell a=3.6138 b=3.6138 c=12.0200 alpha=90.00 beta=90.00 gamma=90.00
Closest atoms and distances in Å follow each position.
Space group I4/mmm (No. 139)
Symmetry-distinct sites (fractional):
Cu: 0.0000 0.0000 0.0000 x2  8 Ru 2.85
Ge: 0.0000 0.5000 0.2500 x4  4 Ru 2.50, 4 Ge 2.56
Ru: 0.0000 0.0000 0.3943 x4  4 Ge 2.50, 1 Ru 2.54

Entry Q
Entry from Alexandria: a relaxed structure of CuGe2Ru2 (PBE-GGA).

Summary:
* D(E_F): 0.209 states/eV/atom
* crystal system: tetragonal

Unit cell a=6.9915 b=6.9915 c=3.0005 alpha=90.00 beta=90.00 gamma=90.00
Closest atoms and distances in Å follow each position.
Space group P4/mbm (No. 127)
Symmetry-distinct sites (fractional):
Cu: 0.0000 0.0000 0.0000 x2  4 Ru 2.68
Ge: 0.1532 0.3468 0.5000 x4  6 Ru 2.49-2.57
Ru: 0.1459 0.6459 0.0000 x4  6 Ge 2.49-2.57, 2 Cu 2.68

Relative to the most stable one, in meV per atom, the structures come out at entry P 332; entry Q 0.

Entry P
Entry from Alexandria: a relaxed structure of Cu3GeRu (PBE-GGA).

Summary:
* D(E_F): 0.900 states/eV/atom
* crystal system: cubic

Unit cell a=4.5789 b=4.5789 c=4.5789 alpha=90.00 beta=90.00 gamma=90.00
Closest atoms and distances in Å follow each position.
Space group Pm-3m (No. 221)
Symmetry-distinct sites (fractional):
Cu: 0.0000 0.0000 0.5000 x3  2 Ru 2.29
Ge: 0.5000 0.5000 0.5000 x1  12 Cu 3.24
Ru: 0.0000 0.0000 0.0000 x1  6 Cu 2.29

Entry Q
Entry from Alexandria: a relaxed structure of Cu3GeRu (PBE-GGA).

Summary:
* D(E_F): 0.749 states/eV/atom
* crystal system: cubic

Unit cell a=4.3782 b=4.3782 c=4.3782 alpha=90.00 beta=90.00 gamma=90.00
Closest atoms and distances in Å follow each position.
Space group Pm-3m (No. 221)
Symmetry-distinct sites (fractional):
Cu: 0.0000 0.0000 0.5000 x3  2 Ge 2.19
Ge: 0.0000 0.0000 0.0000 x1  6 Cu 2.19
Ru: 0.5000 0.5000 0.5000 x1  12 Cu 3.10

Relative to the most stable one, in meV per atom, the structures come out at entry P 241; entry Q 0.

Entry P
Entry from Alexandria: a relaxed structure of CuSiGe2Ru (PBE-GGA).

Summary:
* D(E_F): 1.271 states/eV/atom
* crystal system: tetragonal

Unit cell a=4.7341 b=4.7341 c=4.2566 alpha=90.00 beta=90.00 gamma=90.00
Closest atoms and distances in Å follow each position.
Space group P4/mmm (No. 123)
Symmetry-distinct sites (fractional):
Cu: 0.0000 0.0000 0.0000 x1  2 Si 2.13
Si: 0.0000 0.0000 0.5000 x1  2 Cu 2.13, 4 Ge 2.37
Ge: 0.0000 0.5000 0.5000 x2  2 Si 2.37
Ru: 0.5000 0.5000 0.0000 x1  8 Ge 3.18, 4 Cu 3.35

Entry Q
Entry from Alexandria: a relaxed structure of CuSiGe2Ru (PBE-GGA).

Summary:
* D(E_F): 0.797 states/eV/atom
* crystal system: tetragonal

Unit cell a=4.7128 b=4.7128 c=4.4356 alpha=90.00 beta=90.00 gamma=90.00
Closest atoms and distances in Å follow each position.
Space group P4/mmm (No. 123)
Symmetry-distinct sites (fractional):
Cu: 0.0000 0.0000 0.0000 x1  8 Ge 3.24, 4 Ru 3.33
Si: 0.5000 0.5000 0.5000 x1  2 Ru 2.22, 4 Ge 2.36
Ge: 0.0000 0.5000 0.5000 x2  2 Si 2.36
Ru: 0.5000 0.5000 0.0000 x1  2 Si 2.22

Relative to the most stable one, in meV per atom, the structures come out at entry P 150; entry Q 0.

Entry P
Entry from Alexandria: a relaxed structure of Cu2GeSb2 (PBE-GGA).

Summary:
* D(E_F): 0.473 states/eV/atom
* crystal system: tetragonal

Unit cell a=3.6188 b=3.6188 c=15.4577 alpha=90.00 beta=90.00 gamma=90.00
Closest atoms and distances in Å follow each position.
Space group I4/mmm (No. 139)
Symmetry-distinct sites (fractional):
Cu: 0.0000 0.5000 0.2500 x4  4 Cu 2.56, 4 Sb 2.74
Ge: 0.0000 0.0000 0.0000 x2  8 Sb 3.13
Sb: 0.0000 0.0000 0.3829 x4  4 Cu 2.74

Entry Q
Entry from Alexandria: a relaxed structure of Cu2GeSb2 (PBE-GGA).

Summary:
* D(E_F): 0.351 states/eV/atom
* crystal system: tetragonal

Unit cell a=8.0458 b=8.0458 c=3.1038 alpha=90.00 beta=90.00 gamma=90.00
Closest atoms and distances in Å follow each position.
Space group P4/mbm (No. 127)
Symmetry-distinct sites (fractional):
Cu: 0.1111 0.3889 0.0000 x4  1 Cu 2.53, 2 Sb 2.82
Ge: 0.0000 0.0000 0.5000 x2  4 Sb 2.95, 2 Ge 3.10
Sb: 0.1821 0.6821 0.5000 x4  6 Cu 2.82-2.88, 2 Ge 2.95, 2 Sb 3.10

Relative to the most stable one, in meV per atom, the structures come out at entry P 0; entry Q 55.

Entry P
Entry from Alexandria: a relaxed structure of CuGeSb3 (PBE-GGA).

Summary:
* D(E_F): 0.693 states/eV/atom
* crystal system: cubic

Unit cell a=5.0900 b=5.0900 c=5.0900 alpha=90.00 beta=90.00 gamma=90.00
Closest atoms and distances in Å follow each position.
Space group Pm-3m (No. 221)
Symmetry-distinct sites (fractional):
Cu: 0.0000 0.0000 0.0000 x1  6 Sb 2.55
Ge: 0.5000 0.5000 0.5000 x1  12 Sb 3.60
Sb: 0.0000 0.0000 0.5000 x3  2 Cu 2.55

Entry Q
Entry from Alexandria: a relaxed structure of CuGeSb3 (PBE-GGA).

Summary:
* D(E_F): 0.842 states/eV/atom
* crystal system: cubic

Unit cell a=5.3245 b=5.3245 c=5.3245 alpha=90.00 beta=90.00 gamma=90.00
Closest atoms and distances in Å follow each position.
Space group Pm-3m (No. 221)
Symmetry-distinct sites (fractional):
Cu: 0.0000 0.0000 0.0000 x1  12 Sb 3.76
Ge: 0.5000 0.5000 0.5000 x1  6 Sb 2.66
Sb: 0.0000 0.5000 0.5000 x3  2 Ge 2.66

Relative to the most stable one, in meV per atom, the structures come out at entry P 0; entry Q 415.

Entry P
Entry from Alexandria: a relaxed structure of CuGeSbTe2 (PBE-GGA).

Summary:
* D(E_F): 0.626 states/eV/atom
* crystal system: tetragonal

Unit cell a=5.2377 b=5.2377 c=4.9385 alpha=90.00 beta=90.00 gamma=90.00
Closest atoms and distances in Å follow each position.
Space group P4/mmm (No. 123)
Symmetry-distinct sites (fractional):
Cu: 0.0000 0.0000 0.0000 x1  2 Sb 2.47, 4 Te 2.62
Ge: 0.5000 0.5000 0.5000 x1  8 Te 3.60, 4 Sb 3.70
Sb: 0.0000 0.0000 0.5000 x1  2 Cu 2.47
Te: 0.0000 0.5000 0.0000 x2  2 Cu 2.62

Entry Q
Entry from Alexandria: a relaxed structure of CuGeSbTe2 (PBE-GGA).

Summary:
* D(E_F): 0.926 states/eV/atom
* crystal system: tetragonal

Unit cell a=5.3945 b=5.3945 c=5.3409 alpha=90.00 beta=90.00 gamma=90.00
Closest atoms and distances in Å follow each position.
Space group P4/mmm (No. 123)
Symmetry-distinct sites (fractional):
Cu: 0.0000 0.0000 0.0000 x1  8 Te 3.80, 4 Sb 3.81
Ge: 0.5000 0.5000 0.5000 x1  2 Sb 2.67, 4 Te 2.70
Sb: 0.5000 0.5000 0.0000 x1  2 Ge 2.67
Te: 0.0000 0.5000 0.5000 x2  2 Ge 2.70

Relative to the most stable one, in meV per atom, the structures come out at entry P 0; entry Q 365.

Entry P
Entry from Alexandria: a relaxed structure of ScCu3Ge (PBE-GGA).

Summary:
* D(E_F): 0.834 states/eV/atom
* crystal system: cubic

Unit cell a=4.4631 b=4.4631 c=4.4631 alpha=90.00 beta=90.00 gamma=90.00
Closest atoms and distances in Å follow each position.
Space group Pm-3m (No. 221)
Symmetry-distinct sites (fractional):
Sc: 0.0000 0.0000 0.0000 x1  12 Cu 3.16
Cu: 0.0000 0.5000 0.5000 x3  2 Ge 2.23
Ge: 0.5000 0.5000 0.5000 x1  6 Cu 2.23

Entry Q
Entry from Alexandria: a relaxed structure of ScCu3Ge (PBE-GGA).

Summary:
* D(E_F): 0.301 states/eV/atom
* crystal system: orthorhombic

Unit cell a=4.2771 b=5.8832 c=5.9028 alpha=90.00 beta=90.00 gamma=90.00
Closest atoms and distances in Å follow each position.
Space group Pmmn (No. 59, origin choice 2)
Symmetry-distinct sites (fractional):
Sc: 0.2500 0.2500 0.2365 x2  6 Cu 2.72-2.77, 2 Ge 2.87
Cu: 0.2500 0.0477 0.7445 x4  2 Cu 2.38-2.50, 1 Ge 2.51
Cu: 0.2500 0.7500 0.0471 x2  1 Ge 2.32, 2 Cu 2.50
Ge: 0.2500 0.7500 0.4401 x2  3 Cu 2.32-2.51

Entry R
Entry from Alexandria: a relaxed structure of ScCu3Ge (PBE-GGA).

Summary:
* D(E_F): 0.807 states/eV/atom
* crystal system: cubic

Unit cell a=4.7717 b=4.7717 c=4.7717 alpha=90.00 beta=90.00 gamma=90.00
Closest atoms and distances in Å follow each position.
Space group Pm-3m (No. 221)
Symmetry-distinct sites (fractional):
Sc: 0.0000 0.0000 0.0000 x1  6 Cu 2.39
Cu: 0.0000 0.0000 0.5000 x3  2 Sc 2.39
Ge: 0.5000 0.5000 0.5000 x1  12 Cu 3.37

Relative to the most stable one, in meV per atom, the structures come out at entry P 487; entry Q 0; entry R 1379.

Entry P
Entry from Alexandria: a relaxed structure of ScCuGe3 (PBE-GGA).

Summary:
* D(E_F): 1.094 states/eV/atom
* crystal system: cubic

Unit cell a=5.1111 b=5.1111 c=5.1111 alpha=90.00 beta=90.00 gamma=90.00
Closest atoms and distances in Å follow each position.
Space group Pm-3m (No. 221)
Symmetry-distinct sites (fractional):
Sc: 0.0000 0.0000 0.0000 x1  6 Ge 2.56
Cu: 0.5000 0.5000 0.5000 x1  12 Ge 3.61
Ge: 0.0000 0.0000 0.5000 x3  2 Sc 2.56

Entry Q
Entry from Alexandria: a relaxed structure of ScCuGe3 (PBE-GGA).

Summary:
* D(E_F): 0.985 states/eV/atom
* crystal system: cubic

Unit cell a=4.6940 b=4.6940 c=4.6940 alpha=90.00 beta=90.00 gamma=90.00
Closest atoms and distances in Å follow each position.
Space group Pm-3m (No. 221)
Symmetry-distinct sites (fractional):
Sc: 0.0000 0.0000 0.0000 x1  12 Ge 3.32
Cu: 0.5000 0.5000 0.5000 x1  6 Ge 2.35
Ge: 0.0000 0.5000 0.5000 x3  2 Cu 2.35

Relative to the most stable one, in meV per atom, the structures come out at entry P 580; entry Q 0.

Entry P
Entry from Alexandria: a relaxed structure of CuSi2Ge2 (PBE-GGA).

Summary:
* D(E_F): 0.365 states/eV/atom
* crystal system: tetragonal

Unit cell a=3.3857 b=3.3857 c=14.9158 alpha=90.00 beta=90.00 gamma=90.00
Closest atoms and distances in Å follow each position.
Space group I4/mmm (No. 139)
Symmetry-distinct sites (fractional):
Cu: 0.0000 0.0000 0.0000 x2  8 Ge 2.77
Si: 0.0000 0.5000 0.2500 x4  4 Si 2.39
Ge: 0.0000 0.0000 0.4061 x4  4 Cu 2.77, 1 Ge 2.80, 4 Si 2.88

Entry Q
Entry from Alexandria: a relaxed structure of CuSi2Ge2 (PBE-GGA).

Summary:
* D(E_F): 0.639 states/eV/atom
* crystal system: tetragonal

Unit cell a=4.6847 b=4.6847 c=4.4803 alpha=90.00 beta=90.00 gamma=90.00
Closest atoms and distances in Å follow each position.
Space group P4/mmm (No. 123)
Symmetry-distinct sites (fractional):
Cu: 0.0000 0.0000 0.0000 x1  2 Si 2.24, 4 Ge 2.34
Si: 0.0000 0.0000 0.5000 x1  2 Cu 2.24
Si: 0.5000 0.5000 0.5000 x1  8 Ge 3.24, 4 Si 3.31
Ge: 0.0000 0.5000 0.0000 x2  2 Cu 2.34

Relative to the most stable one, in meV per atom, the structures come out at entry P 0; entry Q 373.

Entry P
Entry from Alexandria: a relaxed structure of Sm2CuGe3 (PBE-GGA).

Summary:
* D(E_F): 0.373 states/eV/atom
* crystal system: orthorhombic

Unit cell a=8.3370 b=8.3740 c=14.4534 alpha=90.00 beta=90.00 gamma=90.00
Closest atoms and distances in Å follow each position.
Space group Fmmm (No. 69)
Symmetry-distinct sites (fractional):
Sm: 0.2419 0.0000 0.0000 x8  10 Ge 3.19-3.22, 2 Cu 3.23
Sm: 0.2500 0.2500 0.2500 x8  8 Ge 3.16-3.17, 4 Cu 3.19
Cu: 0.0000 0.0000 0.3331 x8  3 Ge 2.32-2.35
Ge: 0.0000 0.0000 0.1707 x8  1 Cu 2.35, 2 Ge 2.51
Ge: 0.0000 0.2394 0.4144 x16  1 Cu 2.32, 2 Ge 2.47-2.51

Entry Q
Entry from Alexandria: a relaxed structure of Sm2CuGe3 (PBE-GGA).

Summary:
* D(E_F): 0.513 states/eV/atom
* crystal system: orthorhombic

Unit cell a=4.1611 b=4.2595 c=7.1624 alpha=90.00 beta=90.00 gamma=90.00
Closest atoms and distances in Å follow each position.
Space group Pmm2 (No. 25)
Symmetry-distinct sites (fractional):
Sm: 0.0000 0.0000 0.0000 x1  8 Ge 3.10-3.16, 4 Cu 3.25
Sm: 0.0000 0.5000 0.4919 x1  2 Cu 3.13, 10 Ge 3.19-3.27
Cu: 0.5000 0.5000 0.8191 x1  3 Ge 2.35
Ge: 0.5000 0.0000 0.3329 x1  3 Ge 2.48-2.51
Ge: 0.5000 0.0000 0.6798 x1  2 Cu 2.35, 1 Ge 2.48
Ge: 0.5000 0.5000 0.1477 x1  1 Cu 2.35, 2 Ge 2.51

Relative to the most stable one, in meV per atom, the structures come out at entry P 0; entry Q 28.

Entry P
Entry from Alexandria: a relaxed structure of Sm2Cu3Ge (PBE-GGA).

Summary:
* D(E_F): 0.540 states/eV/atom
* crystal system: orthorhombic

Unit cell a=7.4839 b=8.5997 c=14.8825 alpha=90.00 beta=90.00 gamma=90.00
Closest atoms and distances in Å follow each position.
Space group Fmmm (No. 69)
Symmetry-distinct sites (fractional):
Sm: 0.2387 0.0000 0.0000 x8  10 Cu 3.07-3.15, 2 Ge 3.14
Sm: 0.2500 0.2500 0.2500 x8  8 Cu 3.10-3.11, 4 Ge 3.12
Cu: 0.0000 0.0000 0.1677 x8  1 Ge 2.49, 2 Cu 2.50
Cu: 0.0000 0.2485 0.4166 x16  1 Ge 2.46, 2 Cu 2.48-2.50
Ge: 0.0000 0.0000 0.3353 x8  3 Cu 2.46-2.49

Entry Q
Entry from Alexandria: a relaxed structure of Sm2Cu3Ge (PBE-GGA).

Summary:
* D(E_F): 0.728 states/eV/atom
* crystal system: orthorhombic

Unit cell a=3.7598 b=4.2266 c=7.5262 alpha=90.00 beta=90.00 gamma=90.00
Closest atoms and distances in Å follow each position.
Space group Pmm2 (No. 25)
Symmetry-distinct sites (fractional):
Sm: 0.0000 0.0000 0.0000 x1  8 Cu 3.08-3.16, 4 Ge 3.10
Sm: 0.0000 0.5000 0.4982 x1  10 Cu 3.08-3.14, 2 Ge 3.14
Cu: 0.5000 0.0000 0.3367 x1  3 Cu 2.48-2.49
Cu: 0.5000 0.0000 0.6669 x1  2 Ge 2.45, 1 Cu 2.49
Cu: 0.5000 0.5000 0.1636 x1  2 Cu 2.48, 1 Ge 2.50
Ge: 0.5000 0.5000 0.8319 x1  3 Cu 2.45-2.50

Relative to the most stable one, in meV per atom, the structures come out at entry P 0; entry Q 14.